[1]
{"formula": "LaSmHo2", "functional": "GGA-PBE", "state": "optimized geometry", "magmom_total_mub_per_fu": 0.0, "polymorph_energy_ev_per_atom": 0.0125, "dft_energy_ev_per_atom": -4.67, "lattice_angstrom": [[-2.396, -1.816, -2.032], [1.625, -3.124, 0.875], [-6.080, -0.924, 7.994]], "species": ["Ho", "Ho", "Sm", "La"], "frac_coords": [[0.000, 0.000, 0.754], [0.000, 0.000, 0.246], [0.500, 0.500, 0.000], [0.500, 0.500, 0.500]]}

[2]
{"formula": "BeInPd2", "functional": "GGA-PBE", "state": "optimized geometry", "magmom_total_mub_per_fu": 0.0, "polymorph_energy_ev_per_atom": 0.1300, "dft_energy_ev_per_atom": -4.55, "lattice_angstrom": [[-1.238, 2.829, -1.717], [-3.356, -0.003, 2.415], [1.932, 2.477, 2.688]], "species": ["Be", "Pd", "Pd", "In"], "frac_coords": [[0.500, 0.500, 0.500], [0.000, 0.000, 0.500], [0.000, 0.500, 0.000], [0.500, 0.000, 0.000]]}

Number 1: N(E_F) 6.55 states/eV/cell. Number 2: N(E_F) 1.65 states/eV/cell.